Compound: AgBiPCl2
Source: Alexandria
Functional: GGA-PBEsol
Structure: optimized geometry

Output
symmetry = P4/mmm, No. 123
uncorrected formation energy = 370 meV/atom
V = 147.7 Å³/cell

Structure (POSCAR):
```
AgBiPCl2
1.0
5.261 0.000 0.000
0.000 5.261 0.000
0.000 0.000 5.335
Ag Bi P Cl
1 1 1 2
direct
0.000 0.000 0.000
0.500 0.500 0.500
0.500 0.500 0.000
0.000 0.500 0.500
0.500 0.000 0.500
```